Computed, not measured: a relaxed LiBr crystal at the GGA-PBE level of DFT.

The structure in CIF format:
```
data_LiBr
_chemical_formula_sum 'Li16 Br16'
_symmetry_space_group_name_H-M 'F d d d'
_symmetry_Int_Tables_number 70
_cell_length_a 8.6822
_cell_length_b 10.0817
_cell_length_c 11.3658
_cell_angle_alpha 90.00
_cell_angle_beta 90.00
_cell_angle_gamma 90.00
loop_
_symmetry_equiv_pos_as_xyz
'x,y,z'
'-x,-y,-z'
'-x+1/4,-y+1/4,z'
'x+1/4,y+1/4,-z'
'x,-y+1/4,-z+1/4'
'-x,y+1/4,z+1/4'
'-x+1/4,y,-z+1/4'
'x+1/4,-y,z+1/4'
'x,y+1/2,z+1/2'
'-x,-y+1/2,-z+1/2'
'-x+1/4,-y+3/4,z+1/2'
'x+1/4,y+3/4,-z+1/2'
'x,-y+3/4,-z+3/4'
'-x,y+3/4,z+3/4'
'-x+1/4,y+1/2,-z+3/4'
'x+1/4,-y+1/2,z+3/4'
'x+1/2,y,z+1/2'
'-x+1/2,-y,-z+1/2'
'-x+3/4,-y+1/4,z+1/2'
'x+3/4,y+1/4,-z+1/2'
'x+1/2,-y+1/4,-z+3/4'
'-x+1/2,y+1/4,z+3/4'
'-x+3/4,y,-z+3/4'
'x+3/4,-y,z+3/4'
'x+1/2,y+1/2,z'
'-x+1/2,-y+1/2,-z'
'-x+3/4,-y+3/4,z'
'x+3/4,y+3/4,-z'
'x+1/2,-y+3/4,-z+1/4'
'-x+1/2,y+3/4,z+1/4'
'-x+3/4,y+1/2,-z+1/4'
'x+3/4,-y+1/2,z+1/4'
loop_
_atom_site_label
_atom_site_fract_x
_atom_site_fract_y
_atom_site_fract_z
Li1 0.1250 0.1250 0.2701
Br1 0.1250 0.3210 0.1250
```

Calculated values
Crystal system = orthorhombic
Final energy = -105.689 eV per cell
D(E_F) = 0.000 states/eV/f.u.
ΔE_f (raw) = -1.51 eV/atom

=====

Computed, not measured: a relaxed LiBr5 crystal at the GGA-PBE level of DFT.

The structure in CIF format:
```
data_LiBr5
_chemical_formula_sum 'Li4 Br20'
_symmetry_space_group_name_H-M 'F -4 3 m'
_symmetry_Int_Tables_number 216
_symmetry_space_group_name_Hall 'F -4 2 3'
_cell_length_a 8.8497
_cell_length_b 8.8497
_cell_length_c 8.8497
_cell_angle_alpha 90.00
_cell_angle_beta 90.00
_cell_angle_gamma 90.00
loop_
_atom_site_label
_atom_site_fract_x
_atom_site_fract_y
_atom_site_fract_z
Li1 0.0000 0.0000 0.0000
Br1 0.1249 0.1249 0.3751
Br2 0.2500 0.2500 0.7500
```

Calculated values
Crystal system = cubic
Final energy = -37.797 eV per cell
Excess energy over the best structure of this formula in the dataset = 499.6 meV per atom
D(E_F) = 9.250 states/eV/f.u.
ΔE_f (raw) = 0.14 eV/atom

=====

Computed, not measured: a relaxed LiBr crystal at the GGA-PBE level of DFT.

The structure in CIF format:
```
data_LiBr
_chemical_formula_sum 'Li2 Br2'
_symmetry_space_group_name_H-M 'P m m a'
_symmetry_Int_Tables_number 51
_symmetry_space_group_name_Hall '-P 2a 2a'
_cell_length_a 8.4934
_cell_length_b 3.6698
_cell_length_c 3.7166
_cell_angle_alpha 90.00
_cell_angle_beta 90.00
_cell_angle_gamma 90.00
loop_
_atom_site_label
_atom_site_fract_x
_atom_site_fract_y
_atom_site_fract_z
Li1 0.2500 0.0000 0.2415
Br1 0.2500 0.5000 0.7428
```

Calculated values
Crystal system = orthorhombic
Final energy = -12.852 eV per cell
D(E_F) = 0.000 states/eV/f.u.
ΔE_f (raw) = -1.42 eV/atom

=====

Computed, not measured: a relaxed LiBr5 crystal at the GGA-PBE level of DFT.

The structure in CIF format:
```
data_LiBr5
_chemical_formula_sum 'Li2 Br10'
_symmetry_space_group_name_H-M 'C m m m'
_symmetry_Int_Tables_number 65
_symmetry_space_group_name_Hall '-C 2 2'
_cell_length_a 3.9938
_cell_length_b 26.3790
_cell_length_c 3.9953
_cell_angle_alpha 90.00
_cell_angle_beta 90.00
_cell_angle_gamma 90.00
loop_
_atom_site_label
_atom_site_fract_x
_atom_site_fract_y
_atom_site_fract_z
Li1 0.0000 0.0000 0.0000
Br1 0.0000 0.1655 0.5000
Br2 0.0000 0.3345 0.0000
Br3 0.0000 0.5000 0.5000
```

Calculated values
Crystal system = orthorhombic
Final energy = -24.226 eV per cell
Excess energy over the best structure of this formula in the dataset = 55.7 meV per atom
D(E_F) = 1.567 states/eV/f.u.
ΔE_f (raw) = -0.31 eV/atom

=====

Computed, not measured: a relaxed Li4Br crystal at the GGA-PBE level of DFT.

The structure in CIF format:
```
data_Li4Br
_chemical_formula_sum 'Li8 Br2'
_symmetry_space_group_name_H-M 'I 4/m m m'
_symmetry_Int_Tables_number 139
_symmetry_space_group_name_Hall '-I 4 2'
_cell_length_a 3.6199
_cell_length_b 3.6199
_cell_length_c 17.0231
_cell_angle_alpha 90.00
_cell_angle_beta 90.00
_cell_angle_gamma 90.00
loop_
_atom_site_label
_atom_site_fract_x
_atom_site_fract_y
_atom_site_fract_z
Li1 0.0000 0.0000 0.0924
Li2 0.0000 0.5000 0.2500
Br1 0.0000 0.0000 0.5000
```

Calculated values
Crystal system = tetragonal
Final energy = -22.313 eV per cell
Excess energy over the best structure of this formula in the dataset = 0.0 meV per atom
D(E_F) = 1.943 states/eV/f.u.
ΔE_f (raw) = -0.37 eV/atom

=====

Computed, not measured: a relaxed Li4Br crystal at the GGA-PBE level of DFT.

The structure in CIF format:
```
data_Li4Br
_chemical_formula_sum 'Li4 Br1'
_symmetry_space_group_name_H-M 'P m -3 m'
_symmetry_Int_Tables_number 221
_symmetry_space_group_name_Hall '-P 4 2 3'
_cell_length_a 5.0442
_cell_length_b 5.0442
_cell_length_c 5.0442
_cell_angle_alpha 90.00
_cell_angle_beta 90.00
_cell_angle_gamma 90.00
loop_
_atom_site_label
_atom_site_fract_x
_atom_site_fract_y
_atom_site_fract_z
Li1 0.0000 0.0000 0.0000
Li2 0.0000 0.5000 0.5000
Br1 0.5000 0.5000 0.5000
```

Calculated values
Crystal system = cubic
Final energy = -11.050 eV per cell
Excess energy over the best structure of this formula in the dataset = 21.2 meV per atom
D(E_F) = 2.625 states/eV/f.u.
ΔE_f (raw) = -0.34 eV/atom

=====

Computed, not measured: a relaxed LiBr crystal at the GGA-PBE level of DFT.

The structure in CIF format:
```
data_LiBr
_chemical_formula_sum 'Li1 Br1'
_symmetry_space_group_name_H-M 'P m -3 m'
_symmetry_Int_Tables_number 221
_symmetry_space_group_name_Hall '-P 4 2 3'
_cell_length_a 3.5205
_cell_length_b 3.5205
_cell_length_c 3.5205
_cell_angle_alpha 90.00
_cell_angle_beta 90.00
_cell_angle_gamma 90.00
loop_
_atom_site_label
_atom_site_fract_x
_atom_site_fract_y
_atom_site_fract_z
Li1 0.0000 0.0000 0.0000
Br1 0.5000 0.5000 0.5000
```

Calculated values
Crystal system = cubic
Final energy = -6.089 eV per cell
D(E_F) = 0.000 states/eV/f.u.
ΔE_f (raw) = -1.25 eV/atom

=====

Computed, not measured: a relaxed LiBr crystal at the GGA-PBE level of DFT.

The structure in CIF format:
```
data_LiBr
_chemical_formula_sum 'Li1 Br1'
_symmetry_space_group_name_H-M 'P 4/m m m'
_symmetry_Int_Tables_number 123
_symmetry_space_group_name_Hall '-P 4 2'
_cell_length_a 3.6884
_cell_length_b 3.6884
_cell_length_c 5.1713
_cell_angle_alpha 90.00
_cell_angle_beta 90.00
_cell_angle_gamma 90.00
loop_
_atom_site_label
_atom_site_fract_x
_atom_site_fract_y
_atom_site_fract_z
Li1 0.0000 0.0000 0.0000
Br1 0.5000 0.5000 0.0000
```

Calculated values
Crystal system = tetragonal
Final energy = -6.419 eV per cell
D(E_F) = 0.000 states/eV/f.u.
ΔE_f (raw) = -1.42 eV/atom